Entry 1:
5
Lattice="4.550 0.000 0.000 0.000 4.550 0.000 0.000 0.000 5.133" Properties=species:S:1:pos:R:3 comment="PBEsol GaFe2TeS, relaxed" raw_formation_energy_mev_per_atom=1234 final_energy_ev_per_cell=-23.0 total_magnetization_mub_per_atom=1.236 pbc="T T T"
Ga 0.000 0.000 0.000
Fe 0.000 2.275 0.000
Fe 2.275 0.000 0.000
Te 0.000 0.000 2.566
S 2.275 2.275 2.566

---

Entry 2:
4
Lattice="4.157 0.000 0.000 0.000 3.122 0.000 -2.021 0.000 4.617" Properties=species:S:1:pos:R:3 comment="PBEsol Fe2PPb, relaxed" e_form_mev_per_atom=527 final_energy_ev_per_cell=-25.6 total_magnetization_mub_per_atom=1.007 pbc="T T T"
Fe 0.000 0.000 0.000
Fe -1.010 1.561 2.308
P 1.068 0.000 2.308
Pb 2.079 1.561 0.000

---

Entry 3:
4
Lattice="0.000 3.043 3.043 3.043 0.000 3.043 3.043 3.043 0.000" Properties=species:S:1:pos:R:3 comment="PBEsol Ta2CoP, relaxed" e_form_mev_per_atom=-179 final_energy_ev_per_cell=-39.3 total_magnetization_mub_per_atom=0.202 pbc="T T T"
Ta 1.522 1.522 1.522
Ta 4.565 4.565 4.565
Co 0.000 0.000 0.000
P 3.043 3.043 3.043

---

Entry 4:
4
Lattice="2.732 -4.061 0.000 2.732 4.061 0.000 0.000 0.000 2.813" Properties=species:S:1:pos:R:3 comment="PBEsol Li2AlAg, relaxed" e_form_mev_per_atom=-155 final_energy_ev_per_cell=-12.0 total_magnetization_mub_per_atom=0.000 pbc="T T T"
Li 1.366 2.031 0.000
Li 1.366 -2.031 0.000
Al 0.000 0.000 1.407
Ag 2.732 0.000 1.407

---

Entry 5:
4
Lattice="1.439 -2.386 0.000 1.439 2.386 0.000 0.000 0.000 8.731" Properties=species:S:1:pos:R:3 comment="PBEsol Al2ZnIr, relaxed" e_form_mev_per_atom=-57 final_energy_ev_per_cell=-19.8 total_magnetization_mub_per_atom=0.000 pbc="T T T"
Al 0.000 0.000 0.000
Al 1.439 0.000 2.334
Zn 0.000 0.000 4.592
Ir 1.439 0.000 6.740

---

Entry 6:
4
Lattice="1.956 1.129 6.590 -1.956 1.129 6.590 0.000 -2.258 6.590" Properties=species:S:1:pos:R:3 comment="PBEsol NaHoS2, relaxed" raw_formation_energy_mev_per_atom=-1875 final_energy_ev_per_cell=-22.6 total_magnetization_mub_per_atom=0.000 pbc="T T T"
Na 0.000 0.000 0.000
Ho 0.000 0.000 9.885
S 0.000 0.000 4.788
S 0.000 0.000 14.982